Density functional theory data (PBE) for an optimized crystal structure of TcRu2Rh6. Values from VASP.

Results
- Calculated formation energy: 0.00 eV per atom
- DOS at the Fermi energy: 11.003 states/eV/cell
- V: 127.36 Å³/cell
- Space-group type: C2/m

Quantum ESPRESSO input file:
```
&SYSTEM
  ibrav = 0, nat = 9, ntyp = 3
/
ATOMIC_SPECIES
Ru 101.07 Ru.upf
Rh 102.91 Rh.upf
Tc 98.00 Tc.upf
CELL_PARAMETERS angstrom
-1.1559 -0.1071 -2.4488
-3.2564 -3.9913 3.2114
-3.7912 7.0756 1.4800
ATOMIC_POSITIONS angstrom
Ru -5.5202 2.7905 2.4837
Ru -2.6834 0.1867 -0.2411
Rh -1.2428 2.3154 0.4854
Rh -4.2477 0.4618 1.9849
Rh -6.9608 0.6618 1.7573
Rh -3.9559 2.5153 0.2577
Rh -2.9697 -1.9314 1.4863
Rh -5.2339 4.9086 0.7563
Tc 0.0000 0.0000 0.0000
```


Density functional theory data (PBE) for an optimized crystal structure of Ce2ZnAg. Values from VASP.

Results
- Calculated formation energy: 0.21 eV per atom
- DOS at the Fermi energy: 8.151 states/eV/cell
- V: 92.11 Å³/cell
- Space-group type: R-3m

Quantum ESPRESSO input file:
```
&SYSTEM
  ibrav = 0, nat = 4, ntyp = 3
/
ATOMIC_SPECIES
Zn 65.41 Zn.upf
Ce 140.12 Ce.upf
Ag 107.87 Ag.upf
CELL_PARAMETERS angstrom
-1.0287 1.2559 -2.5250
0.7173 -1.1820 -2.6645
-9.6793 -6.8604 -1.2535
ATOMIC_POSITIONS angstrom
Zn 0.0000 0.0000 0.0000
Ce -7.1554 -5.0457 -1.3790
Ce -2.8352 -1.7408 -5.0640
Ag -4.9953 -3.3933 -3.2215
```


Density functional theory data (PBE) for an optimized crystal structure of Ca4SmPa3As8. Values from VASP.

Results
- Calculated formation energy: -1.21 eV per atom
- DOS at the Fermi energy: 12.204 states/eV/cell
- V: 416.63 Å³/cell
- Space-group type: R-3m

Quantum ESPRESSO input file:
```
&SYSTEM
  ibrav = 0, nat = 16, ntyp = 4
/
ATOMIC_SPECIES
Pa 231.04 Pa.upf
As 74.92 As.upf
Ca 40.08 Ca.upf
Sm 150.36 Sm.upf
CELL_PARAMETERS angstrom
8.3937 0.0000 0.0000
0.0000 8.3722 -0.0220
-4.1968 -4.1926 5.9396
ATOMIC_POSITIONS angstrom
Pa 2.0984 2.0898 2.9588
Pa 4.1968 4.1861 -0.0110
Pa -2.0984 2.0898 2.9588
As 0.0000 0.0913 3.0310
As 4.1968 0.1226 2.9727
As 2.0431 2.0162 5.8347
As 2.1537 2.1634 0.0830
As 0.0000 4.0570 2.9450
As -2.0431 2.0162 5.8347
As 4.1968 4.0883 2.8867
As 6.2400 2.1634 0.0830
Ca -2.0984 -2.0963 2.9698
Ca 2.0984 -2.0963 2.9698
Ca 4.1968 0.0000 0.0000
Ca 0.0000 0.0000 0.0000
Sm 0.0000 4.1861 -0.0110
```